(1)
CaCrFeMo2 | PBE | optimized geometry

* theoretical density: 5.806 g/cm³
* raw total energy: -6.8287 eV per atom

Lattice parameters (Å, degrees): 4.455 4.455 4.897 90.00 90.00 90.00
Atoms (fractional coordinates):
Ca 0.000 0.000 0.000
Cr 0.500 0.500 0.000
Fe 0.000 0.000 0.500
Mo 0.000 0.500 0.500
Mo 0.500 0.000 0.500


(2)
CaCr2FeN4 | PBE | optimized geometry

* theoretical density: 4.977 g/cm³
* formation energy (no corrections): -0.4096 eV per atom

Lattice parameters (Å, degrees): 6.163 6.163 9.186 90.00 90.00 150.69
Atoms (fractional coordinates):
Ca 0.071 0.929 0.750
Ca 0.929 0.071 0.250
Cr 0.402 0.598 0.540
Cr 0.402 0.598 0.960
Cr 0.598 0.402 0.040
Cr 0.598 0.402 0.460
Fe 0.207 0.793 0.250
Fe 0.793 0.207 0.750
N 0.000 0.000 0.000
N 0.000 0.000 0.500
N 0.314 0.686 0.105
N 0.314 0.686 0.395
N 0.394 0.606 0.750
N 0.606 0.394 0.250
N 0.686 0.314 0.605
N 0.686 0.314 0.895


(3)
Ca2NbCrFe | PBE | optimized geometry

* theoretical density: 3.600 g/cm³
* raw total energy: -4.9264 eV per atom

Lattice parameters (Å, degrees): 5.436 5.436 4.385 90.00 90.00 90.00
Atoms (fractional coordinates):
Ca 0.000 0.500 0.000
Ca 0.500 0.000 0.000
Nb 0.000 0.000 0.500
Cr 0.000 0.000 0.000
Fe 0.500 0.500 0.500